Record 1
Compound: KSr2Tl
Source: Alexandria
Functional: PBE-GGA
Structure: relaxed

Cell lengths 4.159, 4.147, 11.047 Å; angles 90.00, 90.12, 90.00 degrees
Positions (direct):
K 0.000 0.000 0.000
Sr 0.499 0.500 0.325
Sr 0.501 0.500 0.675
Tl 0.000 0.000 0.500


Record 2
Compound: RbSr2YFe
Source: Alexandria
Functional: PBE-GGA
Structure: relaxed

Cell lengths 6.908, 6.908, 4.616 Å; angles 90.00, 90.00, 90.00 degrees
Positions (direct):
Rb 0.000 0.000 0.000
Sr 0.000 0.500 0.500
Sr 0.500 0.000 0.500
Y 0.500 0.500 0.500
Fe 0.500 0.500 0.000


Record 3
Compound: Mn3VGa
Source: Alexandria
Functional: PBE-GGA
Structure: relaxed

Cell lengths 3.879, 4.781, 6.856 Å; angles 90.00, 106.20, 90.00 degrees
Positions (direct):
Mn 0.031 0.250 0.065
Mn 0.412 0.511 0.820
Mn 0.412 0.989 0.820
Mn 0.588 0.011 0.180
Mn 0.588 0.489 0.180
Mn 0.969 0.750 0.935
V 0.226 0.250 0.440
V 0.774 0.750 0.560
Ga 0.152 0.750 0.312
Ga 0.848 0.250 0.688

Computed properties:
polymorph energy (0 for the lowest one)	0.2027	eV/atom


Record 4
Compound: ScMo2P
Source: Alexandria
Functional: PBE-GGA
Structure: relaxed

Cell lengths 9.269, 3.204, 4.510 Å; angles 90.00, 104.60, 90.00 degrees
Positions (direct):
Sc 0.000 0.000 0.000
Sc 0.500 0.500 0.000
Mo 0.229 0.000 0.707
Mo 0.271 0.500 0.293
Mo 0.729 0.500 0.707
Mo 0.771 0.000 0.293
P 0.000 0.500 0.500
P 0.500 0.000 0.500


no.,calculated formation energy (eV/atom),magnetic moment (Bohr magnetons per cell)
1,-0.1829,0.0
2,0.8649,0.0
3,0.0173,0.0
4,-0.1954,0.0